Record 1
A relaxed structure of ReNi2S, computed with PBE.

```
ReNi2S
1.0
7.5000 0.0000 -0.0010
0.0000 3.5931 0.0000
-4.2274 0.0000 7.6559
S Ni Re
4 8 4
Direct
0.0025 0.5000 0.1935
0.2835 0.5000 0.5969
0.2835 0.0000 0.0969
0.0025 0.0000 0.6935
0.1126 0.5000 0.9068
0.3585 0.5000 0.3823
0.5767 0.5000 0.8556
0.3585 0.0000 0.8823
0.4873 0.5000 0.1246
0.4873 0.0000 0.6246
0.5767 0.0000 0.3556
0.1126 0.0000 0.4068
0.7485 0.0000 0.1352
0.8396 0.0000 0.8788
0.7485 0.5000 0.6352
0.8396 0.5000 0.3788
```

Magnetic moment   0.0 Bohr magnetons per cell
Formation energy (no corrections)   0.31 eV/f.u.
Total energy   -6.956 eV per atom
SG   Cm, No. 8

Record 2
A relaxed structure of ReNi2S, computed with PBE.

```
ReNi2S
1.0
5.1599 0.0000 0.0050
0.0000 3.8416 0.0000
-2.2081 0.0000 5.1067
Ni Re S
4 2 2
Direct
0.2308 0.0000 0.3285
0.7202 0.0000 0.6535
0.6864 0.0000 0.0938
0.5779 0.5000 0.3389
0.4441 0.5000 0.7536
0.9974 0.5000 0.9673
0.0093 0.5000 0.3813
0.2140 0.0000 0.8924
```

Magnetic moment   0.0 Bohr magnetons per cell
Formation energy (no corrections)   0.32 eV/f.u.
Total energy   -6.954 eV per atom
SG   Pm, No. 6

Record 3
A relaxed structure of ReNiS3, computed with PBE.

```
ReNiS3
1.0
-2.3807 2.0761 0.2192
-4.0926 -7.3121 1.9363
3.7397 3.6299 6.2376
Re Ni S
2 2 6
Direct
0.8178 0.6356 0.1132
0.1822 0.3644 0.8868
0.4512 0.9023 0.5806
0.5488 0.0977 0.4194
0.0212 0.0425 0.7717
0.8546 0.7093 0.4348
0.1454 0.2907 0.5652
0.3263 0.6525 0.9095
0.6737 0.3475 0.0905
0.9788 0.9575 0.2283
```

Energy above the most stable polymorph in this dataset   0.0 meV per atom
Magnetic moment   0.0 Bohr magnetons per cell
Formation energy (no corrections)   -1.31 eV/f.u.
Total energy   -6.384 eV per atom
SG   C2/m, No. 12

Record 4
A relaxed structure of Re2NiS2, computed with PBE.

```
Re2NiS2
1.0
6.7816 0.0000 0.0000
0.0000 6.7816 0.0000
0.0000 0.0000 3.0147
S Ni Re
4 2 4
Direct
0.1519 0.6519 0.5000
0.8481 0.3481 0.5000
0.3481 0.1519 0.5000
0.6519 0.8481 0.5000
0.5000 0.5000 0.0000
0.0000 0.0000 0.0000
0.3515 0.8515 0.0000
0.6485 0.1485 0.0000
0.8515 0.6485 0.0000
0.1485 0.3515 0.0000
```

Magnetic moment   0.3 Bohr magnetons per cell
Formation energy (no corrections)   2.73 eV/f.u.
Total energy   -7.240 eV per atom
SG   P4/mbm, No. 127

Record 5
A relaxed structure of ReNi2S, computed with PBE.

```
ReNi2S
1.0
4.6564 0.0011 -0.0037
2.1491 4.4244 -0.0020
1.6912 1.1729 5.1637
S Re Ni
2 2 4
Direct
0.9532 0.4711 0.3217
0.6839 0.1426 0.1093
0.6938 0.5470 0.7445
0.0423 0.7439 0.8959
0.3661 0.1149 0.9016
0.3203 0.0439 0.4805
0.7894 0.0886 0.4969
0.2707 0.5858 0.4589
```

Magnetic moment   0.0 Bohr magnetons per cell
Formation energy (no corrections)   0.24 eV/f.u.
Total energy   -6.974 eV per atom
SG   P1, No. 1

Record 6
A relaxed structure of ReNi2S, computed with PBE.

```
ReNi2S
1.0
-1.4652 8.2814 -1.8984
0.3348 -0.5945 -2.8520
-6.9374 -6.0184 0.4401
Ni Re S
8 4 4
Direct
0.5958 0.5000 0.2200
0.4291 0.0000 0.9640
0.4291 0.5000 0.4640
0.5958 0.0000 0.7200
0.9952 0.0000 0.0849
0.2409 0.0000 0.5731
0.2409 0.5000 0.0731
0.9952 0.5000 0.5849
0.8874 0.0000 0.3093
0.7210 0.5000 0.0121
0.7210 0.0000 0.5121
0.8874 0.5000 0.8093
0.4290 0.5000 0.7745
0.1107 0.0000 0.8237
0.4290 0.0000 0.2745
0.1107 0.5000 0.3237
```

Magnetic moment   0.0 Bohr magnetons per cell
Formation energy (no corrections)   0.01 eV/f.u.
Total energy   -7.033 eV per atom
SG   Cm, No. 8

Record 7
A relaxed structure of ReNi2S, computed with PBE.

```
ReNi2S
1.0
-2.0809 2.3847 -3.0221
-3.1878 -2.9915 1.9119
1.1795 3.6405 4.1024
Ni Re S
4 2 2
Direct
0.9676 0.5654 0.2239
0.0252 0.7217 0.7027
0.4438 0.0497 0.1779
0.3613 0.4636 0.9778
0.1000 0.1972 0.4863
0.6558 0.1206 0.7159
0.8134 0.8806 0.0327
0.4906 0.5920 0.4207
```

Magnetic moment   0.0 Bohr magnetons per cell
Formation energy (no corrections)   0.40 eV/f.u.
Total energy   -6.936 eV per atom
SG   P1, No. 1

Record 8
A relaxed structure of ReNi2S, computed with PBE.

```
ReNi2S
1.0
-5.6727 2.9366 -3.3614
-1.9558 -0.1808 3.1426
4.5572 6.3861 3.2035
S Ni Re
4 8 4
Direct
0.9452 0.5000 0.3054
0.6715 0.5000 0.5088
0.9452 0.0000 0.8054
0.6715 0.0000 0.0088
0.5028 0.0000 0.4052
0.6172 0.0000 0.7330
0.6172 0.5000 0.2330
0.0357 0.5000 0.5832
0.5028 0.5000 0.9052
0.3944 0.0000 0.0739
0.0357 0.0000 0.0832
0.3944 0.5000 0.5739
0.1555 0.5000 0.9154
0.2685 0.5000 0.2411
0.2685 0.0000 0.7411
0.1555 0.0000 0.4154
```

Magnetic moment   0.0 Bohr magnetons per cell
Formation energy (no corrections)   -0.28 eV/f.u.
Total energy   -7.105 eV per atom
SG   Cm, No. 8

Record 9
A relaxed structure of Re2NiS, computed with PBE.

```
Re2NiS
1.0
3.6578 0.0000 0.0000
0.0000 3.6578 0.0000
1.8289 1.8289 8.9353
S Re Ni
2 4 2
Direct
0.5000 0.5000 0.0000
0.2500 0.7500 0.5000
0.8750 0.9002 0.7500
0.3750 0.3498 0.7500
0.6502 0.1250 0.2500
0.0998 0.6250 0.2500
0.7500 0.2500 0.5000
0.0000 0.0000 0.0000
```

Magnetic moment   0.0 Bohr magnetons per cell
Formation energy (no corrections)   2.70 eV/f.u.
Total energy   -8.026 eV per atom
SG   I-42d, No. 122

Record 10
A relaxed structure of ReNiS, computed with PBE.

```
ReNiS
1.0
-2.5996 0.8251 -1.5835
-1.6443 -2.1966 1.5548
-2.1178 6.4102 6.8166
S Re Ni
2 2 2
Direct
0.0000 0.5000 0.6851
0.5000 0.0000 0.3149
0.0000 0.5000 0.9292
0.5000 0.0000 0.0708
0.5000 0.0000 0.7635
0.0000 0.5000 0.2365
```

Magnetic moment   0.0 Bohr magnetons per cell
Formation energy (no corrections)   -0.44 eV/f.u.
Total energy   -7.600 eV per atom
SG   P4/nmm, No. 129

Record 11
A relaxed structure of ReNi2S, computed with PBE.

```
ReNi2S
1.0
-5.9206 1.7023 2.2935
1.8536 -1.7259 6.0660
-1.2516 2.1868 4.5663
Re Ni S
2 4 2
Direct
0.0000 0.0000 0.0000
0.7500 0.2500 0.5000
0.1663 0.6250 0.2500
0.5837 0.1250 0.2500
0.8750 0.8337 0.7500
0.3750 0.4163 0.7500
0.5000 0.5000 0.0000
0.2500 0.7500 0.5000
```

Magnetic moment   1.7 Bohr magnetons per cell
Formation energy (no corrections)   1.07 eV/f.u.
Total energy   -6.767 eV per atom
SG   I-42d, No. 122

Record 12
A relaxed structure of ReNi3S, computed with PBE.

```
ReNi3S
1.0
4.5106 0.0000 0.0000
0.0000 4.5106 0.0000
0.0000 0.0000 4.5106
Ni Re S
3 1 1
Direct
0.0000 0.0000 0.5000
0.0000 0.5000 0.0000
0.5000 0.0000 0.0000
0.0000 0.0000 0.0000
0.5000 0.5000 0.5000
```

Energy above the most stable polymorph in this dataset   907.3 meV per atom
Magnetic moment   0.0 Bohr magnetons per cell
Formation energy (no corrections)   7.94 eV/f.u.
Total energy   -5.195 eV per atom
SG   Pm-3m, No. 221

The highest magnetic moment belongs to which entry? number 11